Entry a
# ReB3Sb

Crystalline ReB3Sb at its relaxed geometry (GGA-PBE, the Alexandria database).

Unit cell a=4.2112 b=4.2112 c=4.2112 alpha=90.00 beta=90.00 gamma=90.00
Last column: nearest neighbours and their distance in Å.
Atoms (fractional coordinates):
Re1 0.0000 0.0000 0.0000  6 B 2.11
B1 0.0000 0.0000 0.5000  2 Re 2.11
B2 0.0000 0.5000 0.0000  2 Re 2.11
B3 0.5000 0.0000 0.0000  2 Re 2.11
Sb1 0.5000 0.5000 0.5000  12 B 2.98

Properties
The symmetry is Pm-3m.

***

Entry b
# ReB3Sb

Crystalline ReB3Sb at its relaxed geometry (GGA-PBE, the Alexandria database).

Unit cell a=4.2949 b=4.2949 c=4.2949 alpha=90.00 beta=90.00 gamma=90.00
Last column: nearest neighbours and their distance in Å.
Atoms (fractional coordinates):
Re1 0.0000 0.0000 0.0000  12 B 3.04
B1 0.0000 0.5000 0.5000  2 Sb 2.15
B2 0.5000 0.0000 0.5000  2 Sb 2.15
B3 0.5000 0.5000 0.0000  2 Sb 2.15
Sb1 0.5000 0.5000 0.5000  6 B 2.15

Properties
The symmetry is Pm-3m.

***

Quick look at relative energies in meV per atom: entry a 0; entry b 1719.

***

Entry a
# ReBSb3

Crystalline ReBSb3 at its relaxed geometry (GGA-PBE, the Alexandria database).

Unit cell a=5.1612 b=5.1612 c=5.1612 alpha=90.00 beta=90.00 gamma=90.00
Last column: nearest neighbours and their distance in Å.
Atoms (fractional coordinates):
Re1 0.0000 0.0000 0.0000  6 Sb 2.58
B1 0.5000 0.5000 0.5000  12 Sb 3.65
Sb1 0.0000 0.0000 0.5000  2 Re 2.58
Sb2 0.0000 0.5000 0.0000  2 Re 2.58
Sb3 0.5000 0.0000 0.0000  2 Re 2.58

Properties
The symmetry is Pm-3m.

***

Entry b
# ReBSb3

Crystalline ReBSb3 at its relaxed geometry (GGA-PBE, the Alexandria database).

Unit cell a=4.6757 b=4.6757 c=4.6757 alpha=90.00 beta=90.00 gamma=90.00
Last column: nearest neighbours and their distance in Å.
Atoms (fractional coordinates):
Re1 0.0000 0.0000 0.0000  12 Sb 3.31
B1 0.5000 0.5000 0.5000  6 Sb 2.34
Sb1 0.0000 0.5000 0.5000  2 B 2.34
Sb2 0.5000 0.0000 0.5000  2 B 2.34
Sb3 0.5000 0.5000 0.0000  2 B 2.34

Properties
The symmetry is Pm-3m.

***

Quick look at relative energies in meV per atom: entry a 153; entry b 0.